a | Below is an optimized crystal structure of Tm2PaCd, with properties calculated at the PBE level.

The total magnetization comes out at 0.00 μB per formula unit. The value obtained for the density of states at the Fermi level is 17.9 states/eV per cell.

The structure belongs to space group R-3m (No. 166, hexagonal axes); the cell edges are 3.2418, 3.2418 and 35.2707 Å and the angles 90.00°, 90.00° and 120.00°. The distinct sites, in fractional coordinates, are Tm at (0.0000, 0.0000, 0.0909), Pa at (0.0000, 0.0000, 0.0000) and Cd at (0.0000, 0.0000, 0.5000).



b | Below is an optimized crystal structure of Tm2PaCd, with properties calculated at the PBE level.

The total magnetization comes out at 0.10 μB per formula unit. The value obtained for the density of states at the Fermi level is 4.6 states/eV per cell.

The structure belongs to space group P4/mmm (No. 123); the cell edges are 3.3936, 3.3936 and 9.0867 Å and the angles 90.00°, 90.00° and 90.00°. The distinct sites, in fractional coordinates, are Tm at (0.0000, 0.0000, 0.2402), Pa at (0.5000, 0.5000, 0.5000) and Cd at (0.5000, 0.5000, 0.0000).



Result of the stability comparison: a is the least stable of them.



a | Below is an optimized crystal structure of UPa2Cd, with properties calculated at the PBE level.

The total magnetization comes out at 0.00 μB per formula unit. The value obtained for the density of states at the Fermi level is 20.1 states/eV per cell.

The structure belongs to space group R-3m (No. 166, hexagonal axes); the cell edges are 3.6634, 3.6634 and 29.2322 Å and the angles 90.00°, 90.00° and 120.00°. The distinct sites, in fractional coordinates, are U at (0.0000, 0.0000, 0.0000), Pa at (0.0000, 0.0000, 0.3902) and Cd at (0.0000, 0.0000, 0.5000).



b | Below is an optimized crystal structure of UPa2Cd, with properties calculated at the PBE level.

The total magnetization comes out at 0.01 μB per formula unit. The value obtained for the density of states at the Fermi level is 10.0 states/eV per cell.

The structure belongs to space group P4/mmm (No. 123); the cell edges are 3.6002, 3.6002 and 7.4094 Å and the angles 90.00°, 90.00° and 90.00°. The distinct sites, in fractional coordinates, are U at (0.0000, 0.0000, 0.0000), Pa at (0.5000, 0.5000, 0.2169) and Cd at (0.0000, 0.0000, 0.5000).



Result of the stability comparison: a is the least stable of them.



a | Below is an optimized crystal structure of Y2PaCd, with properties calculated at the PBE level.

The total magnetization comes out at 0.20 μB per formula unit. The value obtained for the density of states at the Fermi level is 4.2 states/eV per cell.

The structure belongs to space group P4/mmm (No. 123); the cell edges are 3.4404, 3.4404 and 9.1793 Å and the angles 90.00°, 90.00° and 90.00°. The distinct sites, in fractional coordinates, are Y at (0.0000, 0.0000, 0.2391), Pa at (0.5000, 0.5000, 0.5000) and Cd at (0.5000, 0.5000, 0.0000).



b | Below is an optimized crystal structure of Y2PaCd, with properties calculated at the PBE level.

The total magnetization comes out at 0.00 μB per formula unit. The value obtained for the density of states at the Fermi level is 19.7 states/eV per cell.

The structure belongs to space group R-3m (No. 166, hexagonal axes); the cell edges are 3.2847, 3.2847 and 35.5959 Å and the angles 90.00°, 90.00° and 120.00°. The distinct sites, in fractional coordinates, are Y at (0.0000, 0.0000, 0.0911), Pa at (0.0000, 0.0000, 0.0000) and Cd at (0.0000, 0.0000, 0.5000).



Result of the stability comparison: b is the least stable of them.



a | Below is an optimized crystal structure of ZrPa2Cd, with properties calculated at the PBE level.

The total magnetization comes out at 0.00 μB per formula unit. The value obtained for the density of states at the Fermi level is 22.2 states/eV per cell.

The structure belongs to space group R-3m (No. 166, hexagonal axes); the cell edges are 3.1276, 3.1276 and 36.3250 Å and the angles 90.00°, 90.00° and 120.00°. The distinct sites, in fractional coordinates, are Zr at (0.0000, 0.0000, 0.0000), Pa at (0.0000, 0.0000, 0.4095) and Cd at (0.0000, 0.0000, 0.5000).



b | Below is an optimized crystal structure of ZrPa2Cd, with properties calculated at the PBE level.

The total magnetization comes out at 0.00 μB per formula unit. The value obtained for the density of states at the Fermi level is 6.4 states/eV per cell.

The structure belongs to space group P4/mmm (No. 123); the cell edges are 4.3588, 4.3588 and 5.0120 Å and the angles 90.00°, 90.00° and 90.00°. The distinct sites, in fractional coordinates, are Zr at (0.0000, 0.0000, 0.0000), Pa at (0.0000, 0.5000, 0.5000) and Cd at (0.5000, 0.5000, 0.0000).



Result of the stability comparison: a is the least stable of them.



a | Below is an optimized crystal structure of Zr2PaCd, with properties calculated at the PBE level.

The total magnetization comes out at 0.00 μB per formula unit. The value obtained for the density of states at the Fermi level is 5.1 states/eV per cell.

The structure belongs to space group P4/mmm (No. 123); the cell edges are 3.6318, 3.6318 and 6.8939 Å and the angles 90.00°, 90.00° and 90.00°. The distinct sites, in fractional coordinates, are Zr at (0.0000, 0.0000, 0.2413), Pa at (0.5000, 0.5000, 0.0000) and Cd at (0.5000, 0.5000, 0.5000).



b | Below is an optimized crystal structure of Zr2PaCd, with properties calculated at the PBE level.

The total magnetization comes out at 0.00 μB per formula unit. The value obtained for the density of states at the Fermi level is 5.6 states/eV per cell.

The structure belongs to space group P4/mmm (No. 123); the cell edges are 3.0529, 3.0529 and 9.8421 Å and the angles 90.00°, 90.00° and 90.00°. The distinct sites, in fractional coordinates, are Zr at (0.0000, 0.0000, 0.2413), Pa at (0.5000, 0.5000, 0.5000) and Cd at (0.5000, 0.5000, 0.0000).



Result of the stability comparison: a is the least stable of them.



a | Below is an optimized crystal structure of Zr2PaCd, with properties calculated at the PBE level.

The total magnetization comes out at 0.00 μB per formula unit. The value obtained for the density of states at the Fermi level is 12.8 states/eV per cell.

The structure belongs to space group R3m (No. 160, hexagonal axes); the cell edges are 3.2027, 3.2027 and 31.6637 Å and the angles 90.00°, 90.00° and 120.00°. The distinct sites, in fractional coordinates, are Zr at (0.0000, 0.0000, 0.0000), Zr at (0.0000, 0.0000, 0.1697), Pa at (0.0000, 0.0000, 0.7518) and Cd at (0.0000, 0.0000, 0.5849).



b | Below is an optimized crystal structure of Zr2PaCd, with properties calculated at the PBE level.

The total magnetization comes out at 0.00 μB per formula unit. The value obtained for the density of states at the Fermi level is 25.7 states/eV per cell.

The structure belongs to space group Fm-3m (No. 225); the cell edges are 7.1388, 7.1388 and 7.1388 Å and the angles 90.00°, 90.00° and 90.00°. The distinct sites, in fractional coordinates, are Zr at (0.2500, 0.2500, 0.2500), Pa at (0.0000, 0.0000, 0.0000) and Cd at (0.0000, 0.0000, 0.5000).



c | Below is an optimized crystal structure of Zr2PaCd, with properties calculated at the PBE level.

The total magnetization comes out at 0.00 μB per formula unit. The value obtained for the density of states at the Fermi level is 19.1 states/eV per cell.

The structure belongs to space group R-3m (No. 166, hexagonal axes); the cell edges are 3.2797, 3.2797 and 30.8387 Å and the angles 90.00°, 90.00° and 120.00°. The distinct sites, in fractional coordinates, are Zr at (0.0000, 0.0000, 0.2489), Pa at (0.0000, 0.0000, 0.0000) and Cd at (0.0000, 0.0000, 0.5000).



d | Below is an optimized crystal structure of Zr2PaCd, with properties calculated at the PBE level.

The total magnetization comes out at 0.00 μB per formula unit. The value obtained for the density of states at the Fermi level is 6.3 states/eV per cell.

The structure belongs to space group P4/mmm (No. 123); the cell edges are 4.7614, 4.7614 and 4.0359 Å and the angles 90.00°, 90.00° and 90.00°. The distinct sites, in fractional coordinates, are Zr at (0.0000, 0.5000, 0.0000), Pa at (0.0000, 0.0000, 0.5000) and Cd at (0.5000, 0.5000, 0.5000).



Result of the stability comparison: b is the least stable of them.



a | Below is an optimized crystal structure of Cd4Pb5, with properties calculated at the PBE level.

The total magnetization comes out at 0.00 μB per formula unit. The value obtained for the density of states at the Fermi level is 9.6 states/eV per cell.

The structure belongs to space group P6_3/mcm (No. 193); the cell edges are 9.4873, 9.4873 and 6.5807 Å and the angles 90.00°, 90.00° and 120.00°. The distinct sites, in fractional coordinates, are Cd at (0.0000, 0.0000, 0.0000), Cd at (0.0000, 0.3620, 0.2500), Pb at (0.0000, 0.3002, 0.7500) and Pb at (0.3333, 0.6667, 0.0000).



b | Below is an optimized crystal structure of Cd4Pb5, with properties calculated at the PBE level.

The total magnetization comes out at 0.00 μB per formula unit. The value obtained for the density of states at the Fermi level is 7.8 states/eV per cell.

The structure belongs to space group I4/mmm (No. 139); the cell edges are 12.1741, 12.1741 and 3.4548 Å and the angles 90.00°, 90.00° and 90.00°. The distinct sites, in fractional coordinates, are Cd at (0.0000, 0.3445, 0.0000), Pb at (0.0000, 0.0000, 0.0000) and Pb at (0.1670, 0.1670, 0.5000).



Result of the stability comparison: a is the least stable of them.



a | Below is an optimized crystal structure of Cd7Pb, with properties calculated at the PBE level.

The total magnetization comes out at 0.00 μB per formula unit. The value obtained for the density of states at the Fermi level is 13.7 states/eV per cell.

The structure belongs to space group Fm-3m (No. 225); the cell edges are 9.1565, 9.1565 and 9.1565 Å and the angles 90.00°, 90.00° and 90.00°. The distinct sites, in fractional coordinates, are Cd at (0.0000, 0.0000, 0.0000), Cd at (0.0000, 0.2500, 0.2500) and Pb at (0.0000, 0.0000, 0.5000).



b | Below is an optimized crystal structure of Cd7Pb, with properties calculated at the PBE level.

The total magnetization comes out at 0.00 μB per formula unit. The value obtained for the density of states at the Fermi level is 6.4 states/eV per cell.

The structure belongs to space group I4/mmm (No. 139); the cell edges are 4.5708, 4.5708 and 18.3332 Å and the angles 90.00°, 90.00° and 90.00°. The distinct sites, in fractional coordinates, are Cd at (0.0000, 0.0000, 0.0000), Cd at (0.0000, 0.0000, 0.2493), Cd at (0.0000, 0.5000, 0.1324) and Pb at (0.0000, 0.0000, 0.5000).



Result of the stability comparison: a is the least stable of them.